1.
AgPbI | PBE | optimized geometry

Computed properties:
* total magnetic moment: 0.0 μB per formula unit
* energy relative to the elements, uncorrected: -10 meV per atom
* D(E_F): 1.250 states/eV/f.u.

abc: 12.921 4.065 7.029
angles: 90.00 90.00 90.00
Space group Amm2 (No. 38)
One atom of each set of equivalent atoms:
Ag  0.000  0.000  0.000 [2 per cell]
Ag  0.500  0.000  0.002 [2 per cell]
Pb  0.349  0.000  0.669 [4 per cell]
I  0.150  0.000  0.334 [4 per cell]

---

2.
AgPd2PbI | PBE | optimized geometry

Computed properties:
* total magnetic moment: 0.0 μB per formula unit
* energy relative to the elements, uncorrected: 676 meV per atom
* D(E_F): 0.483 states/eV/f.u.

abc: 5.092 5.092 6.377
angles: 90.00 90.00 90.00
Space group P4/mmm (No. 123)
One atom of each set of equivalent atoms:
Ag  0.000  0.000  0.000 [1 per cell]
Pd  0.000  0.500  0.500 [2 per cell]
Pb  0.500  0.500  0.500 [1 per cell]
I  0.500  0.500  0.000 [1 per cell]

---

3.
RbAgPb2I | PBE | optimized geometry

Computed properties:
* total magnetic moment: 0.0 μB per formula unit
* energy relative to the elements, uncorrected: 886 meV per atom
* D(E_F): 9.389 states/eV/f.u.

abc: 6.557 6.557 6.339
angles: 90.00 90.00 90.00
Space group P4/mmm (No. 123)
One atom of each set of equivalent atoms:
Rb  0.000  0.000  0.000 [1 per cell]
Ag  0.500  0.500  0.500 [1 per cell]
Pb  0.000  0.500  0.000 [2 per cell]
I  0.000  0.000  0.500 [1 per cell]

---

4.
RbAg4Pb3I12 | PBE | optimized geometry

Computed properties:
* total magnetic moment: 0.0 μB per formula unit
* energy relative to the elements, uncorrected: -466 meV per atom
* D(E_F): 16.954 states/eV/f.u.

abc: 16.8536 16.8536 11.8503
angles: 90.00 90.00 120.00
Space group R32 (No. 155, hexagonal axes)
One atom of each set of equivalent atoms:
Rb  0.0000  0.0000  0.0000 [3 per cell]
Ag  0.0000  0.0000  0.5000 [3 per cell]
Ag  0.0000  0.4200  0.5000 [9 per cell]
Pb  0.0000  0.5637  0.0000 [9 per cell]
I  0.0000  0.5893  0.5000 [9 per cell]
I  0.0000  0.8380  0.5000 [9 per cell]
I  0.0494  0.2063  0.1882 [18 per cell]

---

5.
AgPb2SI | PBE | optimized geometry

Computed properties:
* total magnetic moment: 0.0 μB per formula unit
* energy relative to the elements, uncorrected: 42 meV per atom
* D(E_F): 3.322 states/eV/f.u.

abc: 5.829 5.829 4.737
angles: 90.00 90.00 90.00
Space group P4/mmm (No. 123)
One atom of each set of equivalent atoms:
Ag  0.000  0.000  0.000 [1 per cell]
Pb  0.000  0.500  0.500 [2 per cell]
S  0.000  0.000  0.500 [1 per cell]
I  0.500  0.500  0.000 [1 per cell]

---

6.
AgSb2PbI | PBE | optimized geometry

Computed properties:
* total magnetic moment: 0.0 μB per formula unit
* energy above the most stable polymorph in this dataset: 0.00 eV per formula unit
* energy relative to the elements, uncorrected: 447 meV per atom
* D(E_F): 5.089 states/eV/f.u.

abc: 5.371 5.371 5.797
angles: 90.00 90.00 90.00
Space group P4/mmm (No. 123)
One atom of each set of equivalent atoms:
Ag  0.000  0.000  0.000 [1 per cell]
Sb  0.000  0.500  0.000 [2 per cell]
Pb  0.500  0.500  0.500 [1 per cell]
I  0.000  0.000  0.500 [1 per cell]

---

7.
AgSbPbI2 | PBE | optimized geometry

Computed properties:
* total magnetic moment: 1.7 μB per formula unit
* energy above the most stable polymorph in this dataset: 1.01 eV per formula unit
* energy relative to the elements, uncorrected: 465 meV per atom
* D(E_F): 2.711 states/eV/f.u.

abc: 6.208 6.208 6.112
angles: 90.00 90.00 90.00
Space group P4/mmm (No. 123)
One atom of each set of equivalent atoms:
Ag  0.000  0.000  0.000 [1 per cell]
Sb  0.500  0.500  0.000 [1 per cell]
Pb  0.500  0.500  0.500 [1 per cell]
I  0.000  0.500  0.500 [2 per cell]

---

8.
Ag2SbPbI | PBE | optimized geometry

Computed properties:
* total magnetic moment: 0.0 μB per formula unit
* energy relative to the elements, uncorrected: 101 meV per atom
* D(E_F): 0.555 states/eV/f.u.

abc: 5.223 5.223 6.357
angles: 90.00 90.00 90.00
Space group P4/mmm (No. 123)
One atom of each set of equivalent atoms:
Ag  0.000  0.500  0.000 [2 per cell]
Sb  0.000  0.000  0.000 [1 per cell]
Pb  0.000  0.000  0.500 [1 per cell]
I  0.500  0.500  0.500 [1 per cell]